The following is a GGA-PBE calculation of crystalline NbTlS2 at its relaxed geometry, from the Alexandria database.

D(E_F), states/eV per atom: 0.60
DFT total energy, eV per formula unit: -23.84
Total moment, μB/cell: 0.00
Space-group type: Cm, No. 8
Raw formation energy, eV/atom: -0.79

abc: 3.412 8.651 3.412
angles: 90.04 120.00 89.96
Element x y z (fractional)
Nb 0.232 0.901 0.073
S 0.565 0.721 0.740
S 0.898 0.081 0.407
Tl 0.227 0.401 0.077